FeHg2F after structural relaxation. Source: the Alexandria database, functional GGA+U.

- Total DFT energy (no corrections): -2.006 eV/atom
- E above lowest polymorph: 0.2583 eV/atom
- D(E_F): 0.97 states/eV/atom
- Magnetic moment: 3.7 μB/f.u.

Lattice parameters (Å, degrees): 4.717 4.717 4.717 60.00 60.00 60.00
Site moments in Bohr magnetons follow the coordinates.
Fractional coordinates of all 4 atoms:
F1 0.000 0.000 0.000  0.06
Hg1 0.250 0.250 0.250  0.02
Hg2 0.750 0.750 0.750  0.02
Fe1 0.500 0.500 0.500  3.53